[1]
Ta4VMo | GGA-PBE | optimized geometry

Lattice parameters (Å, degrees): 3.229 3.229 9.802 90.00 90.00 90.00
Element x y z (fractional)
Ta: 0.000 0.000 0.157
Ta: 0.000 0.000 0.843
Ta: 0.500 0.500 0.338
Ta: 0.500 0.500 0.662
V: 0.500 0.500 0.000
Mo: 0.000 0.000 0.500

Summary:
SG   P4/mmm
Energy above the lowest structure with this stoichiometry   0.00 eV per formula unit
Formation energy from the elements   -0.4 eV per formula unit

[2]
TbDy2PbC | GGA-PBE | optimized geometry

Lattice parameters (Å, degrees): 4.920 4.920 4.950 90.00 90.00 90.00
Element x y z (fractional)
Tb: 0.000 0.000 0.000
Dy: 0.000 0.500 0.500
Dy: 0.500 0.000 0.500
Pb: 0.500 0.500 0.000
C: 0.000 0.000 0.500

Summary:
SG   P4/mmm
Formation energy from the elements   -2.7 eV per formula unit

[3]
Sr2AlAs | GGA-PBE | optimized geometry

Lattice parameters (Å, degrees): 5.504 5.504 5.504 60.00 60.00 60.00
Element x y z (fractional)
Sr: 0.000 0.000 0.000
Sr: 0.250 0.250 0.250
Al: 0.500 0.500 0.500
As: 0.750 0.750 0.750

Summary:
SG   F-43m
Energy above the lowest structure with this stoichiometry   2.54 eV per formula unit
Formation energy from the elements   -0.1 eV per formula unit

[4]
TiFeRuPt | GGA-PBE | optimized geometry

Lattice parameters (Å, degrees): 4.342 4.342 4.342 60.00 60.00 60.00
Element x y z (fractional)
Ti: 0.000 0.000 0.000
Fe: 0.500 0.500 0.500
Ru: 0.250 0.250 0.250
Pt: 0.750 0.750 0.750

Summary:
SG   F-43m
Formation energy from the elements   -1.6 eV per formula unit